Entry from Alexandria via LeMat-Bulk: a geometry-optimized Na5B8C2 structure (PBE).

Cell: 18.0775 2.8314 13.6594 Å, 90.00 112.74 90.00°
Space group Cm (No. 8)
Unique sites:
Na 0.0000 0.0000 0.0000 (multiplicity 2)
Na 0.0005 0.0000 0.4980 (multiplicity 2)
Na 0.0995 0.5000 0.1965 (multiplicity 2)
Na 0.1002 0.5000 0.6995 (multiplicity 2)
Na 0.1997 0.0000 0.3962 (multiplicity 2)
Na 0.2006 0.0000 0.9009 (multiplicity 2)
Na 0.3007 0.5000 0.0990 (multiplicity 2)
Na 0.3015 0.5000 0.5994 (multiplicity 2)
Na 0.4008 0.0000 0.2968 (multiplicity 2)
Na 0.4028 0.0000 0.8011 (multiplicity 2)
B 0.0373 0.0000 0.8244 (multiplicity 2)
B 0.0590 0.5000 0.3641 (multiplicity 2)
B 0.1257 0.5000 0.0005 (multiplicity 2)
B 0.1270 0.5000 0.5005 (multiplicity 2)
B 0.1655 0.0000 0.0789 (multiplicity 2)
B 0.1708 0.0000 0.5895 (multiplicity 2)
B 0.2284 0.0000 0.2035 (multiplicity 2)
B 0.2346 0.0000 0.7181 (multiplicity 2)
B 0.2697 0.5000 0.2856 (multiplicity 2)
B 0.2790 0.5000 0.8065 (multiplicity 2)
B 0.3327 0.5000 0.4110 (multiplicity 2)
B 0.3711 0.0000 0.9895 (multiplicity 2)
B 0.3720 0.0000 0.4898 (multiplicity 2)
B 0.4354 0.0000 0.6187 (multiplicity 2)
B 0.4648 0.5000 0.1759 (multiplicity 2)
B 0.4720 0.5000 0.6933 (multiplicity 2)
C 0.0278 0.0000 0.3016 (multiplicity 2)
C 0.0661 0.5000 0.8827 (multiplicity 2)
C 0.3388 0.5000 0.9253 (multiplicity 2)
C 0.4334 0.0000 0.1131 (multiplicity 2)

Properties
**Size of the total moment**: 0.00 μB/atom
**D(E_F)**: 12.9 states/eV per cell
**Excess energy over the best structure of this formula in the dataset**: 16 meV/atom
**Formation energy from the elements**: 186.7 meV per atom
**VASP energy**: -5.044 eV/atom